[1]
Computed, not measured: crystalline Ca5Re2N6 at its relaxed geometry at the PBEsol level of DFT.

Cell: 5.9725 5.9725 12.5545 Å, 100.85 100.85 66.71°
Atoms (fractional coordinates):
Ca: 0.1259 0.8741 0.7500
Ca: 0.1823 0.6994 0.0004
Ca: 0.2292 0.4516 0.2823
Ca: 0.3006 0.8177 0.4996
Ca: 0.4516 0.2292 0.7823
Ca: 0.5484 0.7708 0.2177
Ca: 0.6994 0.1823 0.5004
Ca: 0.7708 0.5484 0.7177
Ca: 0.8177 0.3006 0.9996
Ca: 0.8741 0.1259 0.2500
Re: 0.1757 0.3647 0.5598
Re: 0.3647 0.1757 0.0598
Re: 0.6353 0.8243 0.9402
Re: 0.8243 0.6353 0.4402
N: 0.1016 0.1775 0.6439
N: 0.1665 0.2452 0.4121
N: 0.1775 0.1016 0.1439
N: 0.2452 0.1665 0.9121
N: 0.4177 0.4942 0.6249
N: 0.4942 0.4177 0.1249
N: 0.5058 0.5823 0.8751
N: 0.5823 0.5058 0.3751
N: 0.7548 0.8335 0.0879
N: 0.8225 0.8984 0.8561
N: 0.8335 0.7548 0.5879
N: 0.8984 0.8225 0.3561

Values from the calculation:
Symmetry   C2/c, No. 15
E   -7.66 eV/atom

[2]
Computed, not measured: crystalline Ca7ReN6 at its relaxed geometry at the PBEsol level of DFT.

Cell: 8.9439 8.9439 8.9439 Å, 138.20 100.02 94.62°
Atoms (fractional coordinates):
Ca: 0.0414 0.2290 0.2704
Ca: 0.0948 0.5006 0.8512
Ca: 0.1494 0.0006 0.4058
Ca: 0.2500 0.2500 0.0000
Ca: 0.3506 0.7565 0.8512
Ca: 0.4052 0.2565 0.4058
Ca: 0.4586 0.7290 0.1877
Ca: 0.5414 0.2710 0.8123
Ca: 0.5948 0.7435 0.5942
Ca: 0.6494 0.2435 0.1488
Ca: 0.7500 0.7500 0.0000
Ca: 0.8506 0.9994 0.5942
Ca: 0.9052 0.4994 0.1488
Ca: 0.9586 0.7710 0.7296
Re: 0.2500 0.7500 0.5000
Re: 0.7500 0.2500 0.5000
N: 0.0823 0.8925 0.5858
N: 0.1548 0.9024 0.0572
N: 0.1933 0.6075 0.1898
N: 0.3067 0.4965 0.4142
N: 0.3452 0.4024 0.7476
N: 0.4177 0.0035 0.8102
N: 0.5823 0.9965 0.1898
N: 0.6548 0.5976 0.2524
N: 0.6933 0.5035 0.5858
N: 0.8067 0.3925 0.8102
N: 0.8452 0.0976 0.9428
N: 0.9177 0.1075 0.4142

Values from the calculation:
Density of states at the Fermi level   11.2 states/eV/cell
Symmetry   Ibam, No. 72
E   -6.55 eV/atom

[3]
Computed, not measured: crystalline Ca4ReN4 at its relaxed geometry at the PBEsol level of DFT.

Cell: 5.9446 6.0399 8.3916 Å, 88.74 73.23 69.62°
Atoms (fractional coordinates):
Ca: 0.0401 0.2338 0.4238
Ca: 0.2139 0.2285 0.0147
Ca: 0.2383 0.7280 0.1527
Ca: 0.4191 0.2874 0.6225
Ca: 0.5809 0.7126 0.3775
Ca: 0.7617 0.2720 0.8473
Ca: 0.7861 0.7715 0.9853
Ca: 0.9599 0.7662 0.5762
Re: 0.4009 0.7866 0.7553
Re: 0.5991 0.2134 0.2447
N: 0.1703 0.0195 0.6702
N: 0.2365 0.5791 0.8740
N: 0.3012 0.4682 0.3746
N: 0.4090 0.0096 0.2136
N: 0.5910 0.9904 0.7864
N: 0.6988 0.5318 0.6254
N: 0.7635 0.4209 0.1260
N: 0.8297 0.9805 0.3298

Values from the calculation:
Density of states at the Fermi level   7.0 states/eV/cell
Symmetry   P-1, No. 2
E   -7.10 eV/atom

[4]
Computed, not measured: crystalline Ca3ReN3 at its relaxed geometry at the PBEsol level of DFT.

Cell: 7.3322 7.3322 4.9994 Å, 90.00 90.00 120.00°
Atoms (fractional coordinates):
Ca: 0.1006 0.3588 0.2500
Ca: 0.2582 0.8994 0.2500
Ca: 0.3588 0.2582 0.7500
Ca: 0.6412 0.7418 0.2500
Ca: 0.7418 0.1006 0.7500
Ca: 0.8994 0.6412 0.7500
Re: 0.3333 0.6667 0.7500
Re: 0.6667 0.3333 0.2500
N: 0.1043 0.3939 0.7500
N: 0.2896 0.8957 0.7500
N: 0.3939 0.2896 0.2500
N: 0.6061 0.7104 0.7500
N: 0.7104 0.1043 0.2500
N: 0.8957 0.6061 0.2500

Values from the calculation:
Density of states at the Fermi level   10.0 states/eV/cell
Symmetry   P6_3/m, No. 176
E   -7.32 eV/atom

[5]
Computed, not measured: crystalline Ca3RhN3 at its relaxed geometry at the PBEsol level of DFT.

Cell: 7.2382 7.2382 4.9134 Å, 90.00 90.00 120.00°
Atoms (fractional coordinates):
Ca: 0.0938 0.3612 0.2500
Ca: 0.2674 0.9062 0.2500
Ca: 0.3612 0.2674 0.7500
Ca: 0.6388 0.7326 0.2500
Ca: 0.7326 0.0938 0.7500
Ca: 0.9062 0.6388 0.7500
Rh: 0.3333 0.6667 0.7500
Rh: 0.6667 0.3333 0.2500
N: 0.0979 0.3870 0.7500
N: 0.2891 0.9021 0.7500
N: 0.3870 0.2891 0.2500
N: 0.6130 0.7109 0.7500
N: 0.7109 0.0979 0.2500
N: 0.9021 0.6130 0.2500

Values from the calculation:
Density of states at the Fermi level   7.7 states/eV/cell
Symmetry   P6_3/m, No. 176
E   -6.45 eV/atom

[6]
Computed, not measured: crystalline CaRuRh2N at its relaxed geometry at the PBEsol level of DFT.

Cell: 4.8367 4.8367 3.6963 Å, 90.00 90.00 90.00°
Atoms (fractional coordinates):
Ca: 0.0000 0.0000 0.0000
Ru: 0.5000 0.5000 0.5000
Rh: 0.0000 0.5000 0.5000
Rh: 0.5000 0.0000 0.5000
N: 0.5000 0.5000 0.0000

Values from the calculation:
Density of states at the Fermi level   4.3 states/eV/cell
Symmetry   P4/mmm, No. 123
E   -6.82 eV/atom

[7]
Computed, not measured: crystalline SrCaRh2N at its relaxed geometry at the PBEsol level of DFT.

Cell: 4.2014 4.2014 4.7923 Å, 90.00 90.00 90.00°
Atoms (fractional coordinates):
Sr: 0.0000 0.0000 0.0000
Ca: 0.5000 0.5000 0.0000
Rh: 0.0000 0.5000 0.5000
Rh: 0.5000 0.0000 0.5000
N: 0.0000 0.0000 0.5000

Values from the calculation:
Density of states at the Fermi level   5.5 states/eV/cell
Symmetry   P4/mmm, No. 123
E   -5.76 eV/atom

[8]
Computed, not measured: crystalline Ca4RuN4 at its relaxed geometry at the PBEsol level of DFT.

Cell: 5.9631 5.9997 8.5069 Å, 87.54 70.13 69.57°
Atoms (fractional coordinates):
Ca: 0.0573 0.2333 0.4320
Ca: 0.1881 0.2273 0.0206
Ca: 0.2659 0.7181 0.1526
Ca: 0.4265 0.2888 0.6209
Ca: 0.5735 0.7112 0.3791
Ca: 0.7341 0.2819 0.8474
Ca: 0.8119 0.7727 0.9794
Ca: 0.9427 0.7667 0.5680
Ru: 0.3873 0.7966 0.7564
Ru: 0.6127 0.2034 0.2436
N: 0.1704 0.0022 0.6631
N: 0.2705 0.5519 0.8887
N: 0.3029 0.4814 0.3818
N: 0.4207 0.0221 0.2020
N: 0.5793 0.9779 0.7980
N: 0.6971 0.5186 0.6182
N: 0.7295 0.4481 0.1113
N: 0.8296 0.9978 0.3369

Values from the calculation:
Density of states at the Fermi level   6.1 states/eV/cell
Symmetry   P-1, No. 2
E   -6.62 eV/atom

[9]
Computed, not measured: crystalline Ca2RuN3 at its relaxed geometry at the PBEsol level of DFT.

Cell: 5.9818 5.9818 11.7304 Å, 90.00 90.00 125.66°
Atoms (fractional coordinates):
Ca: 0.0457 0.9543 0.8558
Ca: 0.1369 0.8631 0.4246
Ca: 0.3631 0.6369 0.9246
Ca: 0.4543 0.5457 0.3558
Ca: 0.5457 0.4543 0.6442
Ca: 0.6369 0.3631 0.0754
Ca: 0.8631 0.1369 0.5754
Ca: 0.9543 0.0457 0.1442
Ru: 0.2469 0.7531 0.6566
Ru: 0.2531 0.7469 0.1566
Ru: 0.7469 0.2531 0.8434
Ru: 0.7531 0.2469 0.3434
N: 0.0518 0.4482 0.7500
N: 0.0716 0.9284 0.6375
N: 0.1545 0.8455 0.0265
N: 0.3455 0.6545 0.5265
N: 0.4284 0.5716 0.1375
N: 0.4482 0.0518 0.2500
N: 0.5518 0.9482 0.7500
N: 0.5716 0.4284 0.8625
N: 0.6545 0.3455 0.4735
N: 0.8455 0.1545 0.9735
N: 0.9284 0.0716 0.3625
N: 0.9482 0.5518 0.2500

Values from the calculation:
Density of states at the Fermi level   15.1 states/eV/cell
Symmetry   Cmce, No. 64
E   -7.23 eV/atom

[10]
Computed, not measured: crystalline Ca7RuN6 at its relaxed geometry at the PBEsol level of DFT.

Cell: 10.8775 6.1705 13.1253 Å, 90.00 90.00 90.00°
Atoms (fractional coordinates):
Ca: 0.0000 0.0653 0.2500
Ca: 0.0000 0.9347 0.7500
Ca: 0.0373 0.2288 0.5213
Ca: 0.0373 0.7712 0.0213
Ca: 0.2068 0.3973 0.1126
Ca: 0.2068 0.6027 0.6126
Ca: 0.2251 0.3659 0.8711
Ca: 0.2251 0.6341 0.3711
Ca: 0.2749 0.1341 0.3711
Ca: 0.2749 0.8659 0.8711
Ca: 0.2932 0.1027 0.6126
Ca: 0.2932 0.8973 0.1126
Ca: 0.4627 0.2712 0.0213
Ca: 0.4627 0.7288 0.5213
Ca: 0.5000 0.4347 0.7500
Ca: 0.5000 0.5653 0.2500
Ca: 0.5373 0.2712 0.4787
Ca: 0.5373 0.7288 0.9787
Ca: 0.7068 0.1027 0.8874
Ca: 0.7068 0.8973 0.3874
Ca: 0.7251 0.1341 0.1289
Ca: 0.7251 0.8659 0.6289
Ca: 0.7749 0.3659 0.6289
Ca: 0.7749 0.6341 0.1289
Ca: 0.7932 0.3973 0.3874
Ca: 0.7932 0.6027 0.8874
Ca: 0.9627 0.2288 0.9787
Ca: 0.9627 0.7712 0.4787
Ru: 0.0000 0.4250 0.7500
Ru: 0.0000 0.5750 0.2500
Ru: 0.5000 0.0750 0.2500
Ru: 0.5000 0.9250 0.7500
N: 0.0374 0.3984 0.3642
N: 0.0374 0.6016 0.8642
N: 0.1327 0.2431 0.7042
N: 0.1327 0.7569 0.2042
N: 0.1674 0.0950 0.9903
N: 0.1674 0.9050 0.4903
N: 0.3326 0.4050 0.4903
N: 0.3326 0.5950 0.9903
N: 0.3673 0.2569 0.2042
N: 0.3673 0.7431 0.7042
N: 0.4626 0.1016 0.8642
N: 0.4626 0.8984 0.3642
N: 0.5374 0.1016 0.6358
N: 0.5374 0.8984 0.1358
N: 0.6327 0.2569 0.2958
N: 0.6327 0.7431 0.7958
N: 0.6674 0.4050 0.0097
N: 0.6674 0.5950 0.5097
N: 0.8326 0.0950 0.5097
N: 0.8326 0.9050 0.0097
N: 0.8673 0.2431 0.7958
N: 0.8673 0.7569 0.2958
N: 0.9626 0.3984 0.1358
N: 0.9626 0.6016 0.6358

Values from the calculation:
Density of states at the Fermi level   3.0 states/eV/cell
Symmetry   Pbcn, No. 60
E   -6.21 eV/atom

[11]
Computed, not measured: crystalline CaTeRuN2 at its relaxed geometry at the PBEsol level of DFT.

Cell: 4.2583 4.2583 6.1540 Å, 90.00 90.00 90.00°
Atoms (fractional coordinates):
Ca: 0.0000 0.0000 0.0000
Te: 0.0000 0.0000 0.5000
Ru: 0.5000 0.5000 0.5000
N: 0.0000 0.5000 0.0000
N: 0.5000 0.0000 0.0000

Values from the calculation:
Density of states at the Fermi level   6.7 states/eV/cell
Symmetry   P4/mmm, No. 123
E   -4.63 eV/atom

[12]
Computed, not measured: crystalline CaTe2RuN at its relaxed geometry at the PBEsol level of DFT.

Cell: 5.6354 5.6354 4.1211 Å, 90.00 90.00 90.00°
Atoms (fractional coordinates):
Ca: 0.0000 0.0000 0.0000
Te: 0.0000 0.5000 0.0000
Te: 0.5000 0.0000 0.0000
Ru: 0.5000 0.5000 0.5000
N: 0.0000 0.0000 0.5000

Values from the calculation:
Density of states at the Fermi level   6.2 states/eV/cell
Symmetry   P4/mmm, No. 123
E   -4.11 eV/atom

[13]
Computed, not measured: crystalline CaSbS2N at its relaxed geometry at the PBEsol level of DFT.

Cell: 5.0467 5.0467 3.9478 Å, 90.00 90.00 90.00°
Atoms (fractional coordinates):
Ca: 0.0000 0.0000 0.0000
Sb: 0.5000 0.5000 0.5000
S: 0.0000 0.5000 0.5000
S: 0.5000 0.0000 0.5000
N: 0.5000 0.5000 0.0000

Values from the calculation:
Density of states at the Fermi level   2.2 states/eV/cell
Symmetry   P4/mmm, No. 123
E   -5.05 eV/atom

[14]
Computed, not measured: crystalline CaScSN2 at its relaxed geometry at the PBEsol level of DFT.

Cell: 4.0708 4.0708 5.1163 Å, 90.00 90.00 90.00°
Atoms (fractional coordinates):
Ca: 0.0000 0.0000 0.0000
Sc: 0.5000 0.5000 0.5000
S: 0.0000 0.0000 0.5000
N: 0.0000 0.5000 0.0000
N: 0.5000 0.0000 0.0000

Values from the calculation:
Density of states at the Fermi level   3.5 states/eV/cell
Symmetry   P4/mmm, No. 123
E   -5.44 eV/atom

[15]
Computed, not measured: crystalline CaSnSN2 at its relaxed geometry at the PBEsol level of DFT.

Cell: 4.4301 4.4301 5.3042 Å, 90.00 90.00 90.00°
Atoms (fractional coordinates):
Ca: 0.0000 0.0000 0.0000
Sn: 0.5000 0.5000 0.5000
S: 0.0000 0.0000 0.5000
N: 0.0000 0.5000 0.0000
N: 0.5000 0.0000 0.0000

Values from the calculation:
Density of states at the Fermi level   2.0 states/eV/cell
Symmetry   P4/mmm, No. 123
E   -4.56 eV/atom

[16]
Computed, not measured: crystalline CaTaS2N at its relaxed geometry at the PBEsol level of DFT.

Cell: 4.9435 4.9435 4.0423 Å, 90.00 90.00 90.00°
Atoms (fractional coordinates):
Ca: 0.0000 0.0000 0.0000
Ta: 0.5000 0.5000 0.5000
S: 0.0000 0.5000 0.0000
S: 0.5000 0.0000 0.0000
N: 0.0000 0.0000 0.5000

Values from the calculation:
Density of states at the Fermi level   4.0 states/eV/cell
Symmetry   P4/mmm, No. 123
E   -5.29 eV/atom

[17]
Computed, not measured: crystalline CaTcSN2 at its relaxed geometry at the PBEsol level of DFT.

Cell: 3.8366 3.8366 4.9373 Å, 90.00 90.00 90.00°
Atoms (fractional coordinates):
Ca: 0.0000 0.0000 0.0000
Tc: 0.5000 0.5000 0.5000
S: 0.5000 0.5000 0.0000
N: 0.0000 0.5000 0.5000
N: 0.5000 0.0000 0.5000

Values from the calculation:
Density of states at the Fermi level   2.9 states/eV/cell
Symmetry   P4/mmm, No. 123
E   -7.47 eV/atom

[18]
Computed, not measured: crystalline CaTcS2N at its relaxed geometry at the PBEsol level of DFT.

Cell: 5.1208 5.1208 4.2494 Å, 90.00 90.00 90.00°
Atoms (fractional coordinates):
Ca: 0.0000 0.0000 0.0000
Tc: 0.5000 0.5000 0.5000
S: 0.0000 0.5000 0.0000
S: 0.5000 0.0000 0.0000
N: 0.0000 0.0000 0.5000

Values from the calculation:
Density of states at the Fermi level   2.9 states/eV/cell
Symmetry   P4/mmm, No. 123
E   -4.79 eV/atom

[19]
Computed, not measured: crystalline CaTeSN2 at its relaxed geometry at the PBEsol level of DFT.

Cell: 4.0984 4.0984 5.1097 Å, 90.00 90.00 90.00°
Atoms (fractional coordinates):
Ca: 0.0000 0.0000 0.0000
Te: 0.5000 0.5000 0.0000
S: 0.5000 0.5000 0.5000
N: 0.0000 0.5000 0.5000
N: 0.5000 0.0000 0.5000

Values from the calculation:
Density of states at the Fermi level   2.5 states/eV/cell
Symmetry   P4/mmm, No. 123
E   -4.48 eV/atom

[20]
Computed, not measured: crystalline CaTlS2N at its relaxed geometry at the PBEsol level of DFT.

Cell: 5.2924 5.2924 4.6216 Å, 90.00 90.00 90.00°
Atoms (fractional coordinates):
Ca: 0.0000 0.0000 0.0000
Tl: 0.5000 0.5000 0.5000
S: 0.0000 0.5000 0.0000
S: 0.5000 0.0000 0.0000
N: 0.0000 0.0000 0.5000

Values from the calculation:
Density of states at the Fermi level   3.6 states/eV/cell
Symmetry   P4/mmm, No. 123
E   -3.98 eV/atom